## LiAsBr2N (GGA-PBE)

Data for an optimized crystal structure of LiAsBr2N.

extended XYZ file:
```
5
Lattice="-0.8738 -4.4630 -1.8999 4.6181 -1.3559 1.0610 -1.5856 -1.7018 4.7270" Properties=species:S:1:pos:R:3 pbc="T T T"
As -0.7928 -0.8509 2.3635
Li 0.0000 0.0000 0.0000
Br 2.3091 -0.6779 0.5305
Br -0.4369 -2.2315 -0.9499
N 1.0793 -3.7603 1.9441
```

Summary:
For the formation energy from raw total energies, the calculation gives 1.07 eV/atom. The value obtained for the total moment is 0.8 Bohr magnetons per cell. The energy above the most stable polymorph in this dataset is 64.7 kJ/mol of atoms.